## Rb4Pa3NiO12 (PBE+U)

Data for a relaxed Rb4Pa3NiO12 crystal.

```
Rb4Pa3NiO12
1.0
-1.771 -0.691 -7.295
-5.401 -3.154 4.207
0.609 7.305 1.757
O Pa Rb Ni
12 3 4 1
Cartesian
-1.843 -0.988 -0.794 O
-0.299 1.700 -1.423 O
-3.561 3.084 4.431 O
-0.864 4.914 -4.115 O
-3.877 -0.269 -2.928 O
-2.374 2.346 -3.541 O
-1.232 1.067 1.533 O
-2.687 3.729 1.597 O
-1.779 4.345 -1.278 O
-4.784 -0.885 -0.053 O
-5.329 -2.857 -2.294 O
-4.190 1.114 2.210 O
-0.581 3.307 -2.769 Pa
-3.586 -1.923 -1.544 Pa
-2.396 2.075 2.982 Pa
0.304 3.653 0.878 Rb
-2.701 -1.577 2.104 Rb
-3.282 1.730 -0.665 Rb
-0.886 -0.346 -3.647 Rb
0.000 0.000 0.000 Ni
```

Output
V	330	Å³/cell
total energy	-7.12	eV/atom
crystal system	cubic